Compound: NaTcGe2Pd
Source: Alexandria
Functional: PBE
Structure: optimized geometry

The energy of formation from the pure elements comes out at 0.283 eV per atom. The value obtained for the polymorph energy (0 for the lowest one) is 0 meV per atom. The density of states at the Fermi level is 3.8 states/eV/f.u.

The space group is P4/mmm (No. 123) and the conventional cell measures 4.7484, 4.7484 and 5.1129 Å, with angles of 90.00, 90.00 and 90.00 degrees. The inequivalent atoms are Na at (0.0000, 0.0000, 0.0000), Tc at (0.5000, 0.5000, 0.5000), Ge at (0.0000, 0.5000, 0.5000) and Pd at (0.5000, 0.5000, 0.0000).


Compound: NaTcGe2Pd
Source: Alexandria
Functional: PBE
Structure: optimized geometry

The energy of formation from the pure elements comes out at 0.634 eV per atom. The value obtained for the polymorph energy (0 for the lowest one) is 351 meV per atom. The density of states at the Fermi level is 3.2 states/eV/f.u.

The space group is P4/mmm (No. 123) and the conventional cell measures 4.7139, 4.7139 and 5.2777 Å, with angles of 90.00, 90.00 and 90.00 degrees. The inequivalent atoms are Na at (0.0000, 0.0000, 0.0000), Tc at (0.0000, 0.0000, 0.5000), Ge at (0.0000, 0.5000, 0.5000) and Pd at (0.5000, 0.5000, 0.0000).


Compound: NaGeTe3Pd
Source: Alexandria
Functional: PBE
Structure: optimized geometry

The uncorrected formation energy is -315 meV/atom. The density of states at the Fermi level is 2.5 states/eV/f.u.

The space group is P2_1/m (No. 11) and the conventional cell measures 7.6035, 4.0593 and 11.4436 Å, with angles of 90.00, 103.46 and 90.00 degrees. The inequivalent atoms are Na at (0.0092, 0.2500, 0.2607), Ge at (0.4469, 0.2500, 0.6217), Te at (0.1621, 0.7500, 0.0831), Te at (0.2316, 0.7500, 0.5005), Te at (0.3700, 0.2500, 0.8472) and Pd at (0.3947, 0.2500, 0.1130).